[1]
Crystalline NaMg5Hg2 at its relaxed geometry. Source: Alexandria, functional PBE.

extended XYZ file:
```
8
Lattice="4.169 0.000 1.386 1.692 6.707 1.875 -0.067 -0.008 7.166" Properties=species:S:1:pos:R:3 pbc="T T T"
Mg 2.176 3.152 7.382
Mg 0.812 3.350 4.521
Mg 2.968 1.067 4.999
Mg 3.617 3.547 3.045
Mg 2.825 5.632 5.428
Hg 4.287 5.176 7.994
Hg 1.506 1.523 2.433
Na 0.000 0.000 0.000
```

Summary:
* crystal system: orthorhombic
* V: 201.0 Å³ per cell
* D(E_F): 2.806 states/eV per cell
* formation energy from the elements: -97 meV per atom
* space-group type: Immm, No. 71

=====

[2]
Crystalline Na9Mg4Hg11 at its relaxed geometry. Source: Alexandria, functional PBE.

extended XYZ file:
```
24
Lattice="3.403 0.000 0.000 0.000 12.717 -4.949 0.000 0.446 13.639" Properties=species:S:1:pos:R:3 pbc="T T T"
Hg 0.000 2.260 10.891
Hg 0.000 8.267 1.792
Hg 0.000 12.151 3.210
Hg 0.000 4.010 2.647
Hg 0.000 9.153 6.042
Hg 0.000 1.013 5.480
Hg 0.000 4.897 6.897
Hg 0.000 10.903 -2.201
Hg 0.000 7.727 9.912
Hg 0.000 0.000 0.000
Hg 0.000 5.437 -1.222
Na 1.702 12.187 5.990
Na 1.702 4.912 9.908
Na 1.702 11.041 0.623
Na 1.702 0.977 2.700
Na 1.702 2.122 8.067
Na 1.702 10.297 8.852
Na 1.702 2.866 -0.163
Na 1.702 6.582 4.345
Na 1.702 8.252 -1.219
Mg 1.702 5.918 1.151
Mg 1.702 3.384 4.990
Mg 1.702 9.779 3.700
Mg 1.702 7.245 7.539
```

Summary:
* crystal system: orthorhombic
* V: 597.9 Å³ per cell
* D(E_F): 8.491 states/eV per cell
* formation energy from the elements: -217 meV per atom
* space-group type: Cmmm, No. 65

=====

[3]
Crystalline Na6MgHg2 at its relaxed geometry. Source: Alexandria, functional PBE.

extended XYZ file:
```
9
Lattice="-0.183 -5.468 0.509 4.509 -2.775 1.468 -1.182 -1.731 10.639" Properties=species:S:1:pos:R:3 pbc="T T T"
Hg -0.468 -2.007 7.925
Hg 3.613 -7.966 4.691
Na 2.199 -5.230 3.923
Na 2.821 -7.659 7.703
Na 0.945 -4.744 8.693
Na 0.324 -2.314 4.913
Na 1.974 -7.331 10.924
Na 1.171 -2.642 1.691
Mg 0.000 0.000 0.000
```

Summary:
* crystal system: trigonal
* V: 271.1 Å³ per cell
* D(E_F): 5.129 states/eV per cell
* formation energy from the elements: -99 meV per atom
* space-group type: R-3m, No. 166

=====

[4]
Crystalline NaMg4Hg4 at its relaxed geometry. Source: Alexandria, functional PBE.

extended XYZ file:
```
18
Lattice="-3.903 -0.882 -3.383 -1.788 -8.538 4.289 -6.235 4.349 6.058" Properties=species:S:1:pos:R:3 pbc="T T T"
Hg -6.524 0.831 3.246
Hg -5.812 -4.002 7.743
Hg -2.215 -0.187 2.600
Hg -6.247 -6.053 0.674
Hg -9.577 0.100 2.910
Hg -5.406 -5.903 3.713
Hg -8.174 -2.722 6.085
Hg -3.748 -2.348 0.882
Mg -4.059 -5.848 6.200
Mg -3.971 1.658 4.141
Mg -4.551 0.353 1.093
Mg -3.692 -5.226 1.571
Mg -10.508 -2.181 4.580
Mg -8.227 0.156 5.398
Mg -7.381 -5.426 5.865
Mg -5.315 -3.771 -0.995
Na 0.000 0.000 0.000
Na -5.963 -2.536 3.482
```

Summary:
* crystal system: tetragonal
* V: 495.1 Å³ per cell
* D(E_F): 7.789 states/eV per cell
* formation energy from the elements: -119 meV per atom
* space-group type: I4/m, No. 87

=====

Question: formation energy from the elements of number 4 (NaMg4Hg4)?
Answer: -119 meV per atom